*w*
NaP2W: optimized geometry, PBE.

Unit cell a=7.9918 b=7.9918 c=7.9918 alpha=23.58 beta=23.58 gamma=23.58
With the nearest neighbours (Å) after each atom.
Positions (direct):
Na (0.0000, 0.0000, 0.0000)  6 P 2.95-2.97, 6 Na 3.27
P (0.2357, 0.2357, 0.2357)  3 W 2.47
P (0.4318, 0.4318, 0.4318)  3 W 2.47
W (0.8338, 0.8338, 0.8338)  6 P 2.47

Output
Symmetry: R3m
V: 17.94 Å³ per atom

*x*
NaP2W: optimized geometry, PBE.

Unit cell a=7.0683 b=7.0683 c=7.0683 alpha=127.72 beta=127.72 gamma=77.07
With the nearest neighbours (Å) after each atom.
Positions (direct):
Na (0.0000, 0.0000, 0.0000)  4 P 2.98
Na (0.7500, 0.2500, 0.5000)  4 P 2.98
P (0.2181, 0.6250, 0.0931)  2 W 2.30
P (0.3750, 0.4681, 0.5931)  2 W 2.30
P (0.5319, 0.1250, 0.9069)  2 W 2.30
P (0.8750, 0.7819, 0.4069)  2 W 2.30
W (0.2500, 0.7500, 0.5000)  4 P 2.30
W (0.5000, 0.5000, 0.0000)  4 P 2.30

Output
Symmetry: I-42d
V: 26.80 Å³ per atom

Most stable: *w* (next structure +343 meV/atom)

*w*
NaPW3: optimized geometry, PBE.

Unit cell a=4.5366 b=4.5366 c=4.5366 alpha=90.00 beta=90.00 gamma=90.00
With the nearest neighbours (Å) after each atom.
Positions (direct):
Na (0.0000, 0.0000, 0.0000)  12 W 3.21
P (0.5000, 0.5000, 0.5000)  6 W 2.27
W (0.0000, 0.5000, 0.5000)  2 P 2.27
W (0.5000, 0.0000, 0.5000)  2 P 2.27
W (0.5000, 0.5000, 0.0000)  2 P 2.27

Output
Symmetry: Pm-3m
V: 18.67 Å³ per atom

*x*
NaPW3: optimized geometry, PBE.

Unit cell a=4.5378 b=4.5378 c=4.5378 alpha=90.00 beta=90.00 gamma=90.00
With the nearest neighbours (Å) after each atom.
Positions (direct):
Na (0.0000, 0.0000, 0.0000)  6 W 2.27
P (0.5000, 0.5000, 0.5000)  12 W 3.21
W (0.0000, 0.0000, 0.5000)  2 Na 2.27
W (0.0000, 0.5000, 0.0000)  2 Na 2.27
W (0.5000, 0.0000, 0.0000)  2 Na 2.27

Output
Symmetry: Pm-3m
V: 18.69 Å³ per atom

Most stable: *w* (next structure +2106 meV/atom)

*w*
NaY3P: optimized geometry, PBE.

Unit cell a=5.3486 b=5.3486 c=5.3486 alpha=90.00 beta=90.00 gamma=90.00
With the nearest neighbours (Å) after each atom.
Positions (direct):
Na (0.0000, 0.0000, 0.0000)  6 Y 2.67
Y (0.0000, 0.0000, 0.5000)  2 Na 2.67
Y (0.0000, 0.5000, 0.0000)  2 Na 2.67
Y (0.5000, 0.0000, 0.0000)  2 Na 2.67
P (0.5000, 0.5000, 0.5000)  12 Y 3.78

Output
Symmetry: Pm-3m
V: 30.60 Å³ per atom

*x*
NaY3P: optimized geometry, PBE.

Unit cell a=5.4177 b=5.4177 c=5.4177 alpha=90.00 beta=90.00 gamma=90.00
With the nearest neighbours (Å) after each atom.
Positions (direct):
Na (0.0000, 0.0000, 0.0000)  12 Y 3.83
Y (0.0000, 0.5000, 0.5000)  2 P 2.71
Y (0.5000, 0.0000, 0.5000)  2 P 2.71
Y (0.5000, 0.5000, 0.0000)  2 P 2.71
P (0.5000, 0.5000, 0.5000)  6 Y 2.71

Output
Symmetry: Pm-3m
V: 31.80 Å³ per atom

Most stable: *x* (next structure +1293 meV/atom)

*w*
Na2Y2P: optimized geometry, PBE.

Unit cell a=7.6381 b=7.6381 c=7.6381 alpha=145.47 beta=145.47 gamma=49.63
With the nearest neighbours (Å) after each atom.
Positions (direct):
Na (0.0802, 0.0802, 0.0000)  1 Na 2.23
Na (0.9198, 0.9198, 0.0000)  1 Na 2.23
Y (0.2500, 0.7500, 0.5000)  4 Y 3.21, 4 Na 3.27
Y (0.7500, 0.2500, 0.5000)  4 Y 3.21, 4 Na 3.27
P (0.5000, 0.5000, 0.0000)  8 Na 3.39

Output
Symmetry: I4/mmm
V: 28.50 Å³ per atom

*x*
Na2Y2P: optimized geometry, PBE.

Unit cell a=7.1773 b=7.1773 c=5.0145 alpha=90.00 beta=90.00 gamma=90.00
With the nearest neighbours (Å) after each atom.
Positions (direct):
Na (0.1406, 0.3594, 0.0000)  2 P 2.77, 1 Na 2.85
Na (0.3594, 0.8594, 0.0000)  2 P 2.77, 1 Na 2.85
Na (0.6406, 0.1406, 0.0000)  2 P 2.77, 1 Na 2.85
Na (0.8594, 0.6406, 0.0000)  2 P 2.77, 1 Na 2.85
Y (0.1747, 0.6747, 0.5000)  6 Na 3.13-3.39
Y (0.3253, 0.1747, 0.5000)  6 Na 3.13-3.39
Y (0.6747, 0.8253, 0.5000)  6 Na 3.13-3.39
Y (0.8253, 0.3253, 0.5000)  6 Na 3.13-3.39
P (0.0000, 0.0000, 0.0000)  4 Na 2.77
P (0.5000, 0.5000, 0.0000)  4 Na 2.77

Output
Symmetry: P4/mbm
V: 25.83 Å³ per atom

Most stable: *x* (next structure +419 meV/atom)

*w*
NaZrP2: optimized geometry, PBE.

Unit cell a=7.0859 b=7.0859 c=7.0859 alpha=31.61 beta=31.61 gamma=31.61
With the nearest neighbours (Å) after each atom.
Positions (direct):
Na (0.0000, 0.0000, 0.0000)  6 P 2.96
Zr (0.5000, 0.5000, 0.5000)  6 P 2.64
P (0.2371, 0.2371, 0.2371)  3 Zr 2.64, 3 Na 2.96
P (0.7629, 0.7629, 0.7629)  3 Zr 2.64, 3 Na 2.96

Output
Symmetry: R-3m
V: 21.70 Å³ per atom

*x*
NaZrP2: optimized geometry, PBE.

Unit cell a=6.0458 b=6.0458 c=6.0458 alpha=107.65 beta=107.65 gamma=113.18
With the nearest neighbours (Å) after each atom.
Positions (direct):
Na (0.0000, 0.0000, 0.0000)  4 P 2.76
Na (0.7500, 0.2500, 0.5000)  4 P 2.76
Zr (0.2500, 0.7500, 0.5000)  4 P 2.56
Zr (0.5000, 0.5000, 0.0000)  4 P 2.56
P (0.1452, 0.6250, 0.0202)  2 Zr 2.56, 2 Na 2.76
P (0.3750, 0.3952, 0.5202)  2 Zr 2.56, 2 Na 2.76
P (0.6048, 0.1250, 0.9798)  2 Zr 2.56, 2 Na 2.76
P (0.8750, 0.8548, 0.4798)  2 Zr 2.56, 2 Na 2.76

Output
Symmetry: I-42d
V: 21.20 Å³ per atom

Most stable: *w* (next structure +314 meV/atom)

*w*
NaPaPb: optimized geometry, PBE.

Unit cell a=8.6827 b=8.6827 c=8.6827 alpha=158.89 beta=158.89 gamma=30.03
With the nearest neighbours (Å) after each atom.
Positions (direct):
Na (0.0000, 0.0000, 0.0000)  4 Na 3.18, 4 Pb 3.49
Pa (0.6869, 0.6869, 0.0000)  4 Pa 3.18, 4 Pb 3.42
Pb (0.3405, 0.3405, 0.0000)  4 Pb 3.18, 4 Pa 3.42, 4 Na 3.49

Output
Symmetry: I4mm
V: 28.29 Å³ per atom

*x*
NaPaPb: optimized geometry, PBE.

Unit cell a=13.1437 b=13.1437 c=13.1437 alpha=163.20 beta=163.20 gamma=23.85
With the nearest neighbours (Å) after each atom.
Positions (direct):
Na (0.0692, 0.0692, 0.0000)  4 Pb 3.38, 1 Na 3.56
Na (0.9308, 0.9308, 0.0000)  4 Pb 3.38, 1 Na 3.56
Pa (0.2287, 0.2287, 0.0000)  4 Pa 2.93, 1 Pb 3.19
Pa (0.7713, 0.7713, 0.0000)  4 Pa 2.93, 1 Pb 3.19
Pb (0.3528, 0.3528, 0.0000)  5 Pa 3.19-3.43, 4 Na 3.38
Pb (0.6472, 0.6472, 0.0000)  5 Pa 3.19-3.43, 4 Na 3.38

Output
Symmetry: I4/mmm
V: 31.61 Å³ per atom

Most stable: *x* (next structure +228 meV/atom)